Compound: TaCuAgSb2
Source: Alexandria via LeMat-Bulk
Functional: PBE
Structure: relaxed

Cell and atoms, written as extended XYZ:
```
5
Lattice="4.932 0.000 0.000 0.000 4.844 0.000 0.000 0.000 4.932" Properties=species:S:1:pos:R:3 pbc="T T T"
Cu 0.000 0.000 0.000
Sb 0.000 0.000 2.466
Sb 2.466 0.000 0.000
Ta 0.000 2.422 0.000
Ag 2.466 2.422 2.466
```

Calculated values
ΔE_f (raw) = 0.97 eV per atom
total moment = 0.00 μB/atom